Computed, not measured: a geometry-optimized Ac2SnTe structure at the PBE level of DFT.

Cell: 6.7657 6.7655 13.6393 Å, 90.00 90.00 90.00°
With the nearest neighbours (Å) after each atom.
Atoms (fractional coordinates):
Ac: 0.0000 0.2494 0.1210  3 Sn 3.35-3.38, 3 Te 3.38-3.47
Ac: 0.0000 0.2507 0.6291  3 Sn 3.35-3.38, 3 Te 3.38-3.46
Ac: 0.0000 0.7493 0.3709  3 Sn 3.35-3.38, 3 Te 3.38-3.46
Ac: 0.0000 0.7506 0.8790  3 Sn 3.35-3.38, 3 Te 3.38-3.47
Ac: 0.5000 0.2494 0.3790  3 Sn 3.35-3.38, 3 Te 3.38-3.47
Ac: 0.5000 0.2507 0.8709  3 Sn 3.35-3.38, 3 Te 3.38-3.46
Ac: 0.5000 0.7493 0.1291  3 Sn 3.35-3.38, 3 Te 3.38-3.46
Ac: 0.5000 0.7506 0.6210  3 Sn 3.35-3.38, 3 Te 3.38-3.47
Sn: 0.0000 0.2505 0.8750  6 Ac 3.35-3.38
Sn: 0.0000 0.7495 0.1250  6 Ac 3.35-3.38
Sn: 0.5000 0.2505 0.6250  6 Ac 3.35-3.38
Sn: 0.5000 0.7495 0.3750  6 Ac 3.35-3.38
Te: 0.0000 0.2499 0.3750  6 Ac 3.38-3.47
Te: 0.0000 0.7501 0.6250  6 Ac 3.38-3.47
Te: 0.5000 0.2499 0.1250  6 Ac 3.38-3.47
Te: 0.5000 0.7501 0.8750  6 Ac 3.38-3.47

Output
SG: No. 53
Raw formation energy, eV/atom: -1.16
Final energy, eV for the cell shown: -79.97
Total magnetization, μB per atom: 0.000


Computed, not measured: a geometry-optimized Ac6SnTe5 structure at the PBE level of DFT.

Cell: 8.2347 8.2347 8.2557 Å, 99.54 99.54 119.94°
With the nearest neighbours (Å) after each atom.
Atoms (fractional coordinates):
Ac: 0.0815 0.4075 0.7448  1 Sn 3.29, 5 Te 3.36-3.42
Ac: 0.2438 0.2438 0.2537  1 Sn 3.30, 5 Te 3.37-3.43
Ac: 0.4075 0.0815 0.7448  1 Sn 3.29, 5 Te 3.36-3.42
Ac: 0.5925 0.9185 0.2552  1 Sn 3.29, 5 Te 3.36-3.42
Ac: 0.7562 0.7562 0.7462  1 Sn 3.30, 5 Te 3.37-3.43
Ac: 0.9185 0.5925 0.2552  1 Sn 3.29, 5 Te 3.36-3.42
Sn: 0.0000 0.0000 0.5000  6 Ac 3.29-3.30
Te: 0.1690 0.8310 0.0000  6 Ac 3.36-3.42
Te: 0.3335 0.6665 0.5000  6 Ac 3.37
Te: 0.5000 0.5000 0.0000  6 Ac 3.37-3.43
Te: 0.6665 0.3335 0.5000  6 Ac 3.37
Te: 0.8310 0.1690 0.0000  6 Ac 3.36-3.42

Output
SG: No. 12
Raw formation energy, eV/atom: -1.41
Final energy, eV for the cell shown: -61.22
Total magnetization, μB per atom: 0.000


Computed, not measured: a geometry-optimized Ac3Sn5Te12 structure at the PBE level of DFT.

Cell: 15.9994 15.9994 15.9994 Å, 109.47 109.47 109.47°
With the nearest neighbours (Å) after each atom.
Atoms (fractional coordinates):
Ac: 0.1250 0.2500 0.3750  8 Te 3.47-3.49
Ac: 0.1250 0.3750 0.7500  8 Te 3.47-3.49
Ac: 0.2500 0.3750 0.1250  8 Te 3.47-3.49
Ac: 0.2500 0.8750 0.6250  8 Te 3.47-3.49
Ac: 0.3750 0.1250 0.2500  8 Te 3.47-3.49
Ac: 0.3750 0.7500 0.1250  8 Te 3.47-3.49
Ac: 0.6250 0.2500 0.8750  8 Te 3.47-3.49
Ac: 0.6250 0.8750 0.7500  8 Te 3.47-3.49
Ac: 0.7500 0.1250 0.3750  8 Te 3.47-3.49
Ac: 0.7500 0.6250 0.8750  8 Te 3.47-3.49
Ac: 0.8750 0.6250 0.2500  8 Te 3.47-3.49
Ac: 0.8750 0.7500 0.6250  8 Te 3.47-3.49
Sn: 0.0000 0.0000 0.0000  6 Te 3.09
Sn: 0.0000 0.0000 0.5000  6 Te 3.09
Sn: 0.0000 0.5000 0.0000  6 Te 3.09
Sn: 0.0000 0.5000 0.5000  6 Te 3.09
Sn: 0.1250 0.7500 0.8750  4 Te 2.88
Sn: 0.1250 0.8750 0.2500  4 Te 2.88
Sn: 0.2500 0.1250 0.8750  4 Te 2.88
Sn: 0.2500 0.6250 0.3750  4 Te 2.88
Sn: 0.3750 0.2500 0.6250  4 Te 2.88
Sn: 0.3750 0.6250 0.7500  4 Te 2.88
Sn: 0.5000 0.0000 0.0000  6 Te 3.09
Sn: 0.5000 0.0000 0.5000  6 Te 3.09
Sn: 0.5000 0.5000 0.0000  6 Te 3.09
Sn: 0.5000 0.5000 0.5000  6 Te 3.09
Sn: 0.6250 0.3750 0.2500  4 Te 2.88
Sn: 0.6250 0.7500 0.3750  4 Te 2.88
Sn: 0.7500 0.3750 0.6250  4 Te 2.88
Sn: 0.7500 0.8750 0.1250  4 Te 2.88
Sn: 0.8750 0.1250 0.7500  4 Te 2.88
Sn: 0.8750 0.2500 0.1250  4 Te 2.88
Te: 0.0427 0.2173 0.1309  2 Sn 2.88-3.09
Te: 0.0427 0.3254 0.9118  2 Sn 2.88-3.09
Te: 0.0864 0.7173 0.6746  2 Sn 2.88-3.09
Te: 0.0864 0.8691 0.4118  2 Sn 2.88-3.09
Te: 0.0882 0.6309 0.4136  2 Sn 2.88-3.09
Te: 0.0882 0.9573 0.6746  2 Sn 2.88-3.09
Te: 0.1309 0.0427 0.2173  2 Sn 2.88-3.09
Te: 0.1309 0.5882 0.9136  2 Sn 2.88-3.09
Te: 0.1746 0.2173 0.5864  2 Sn 2.88-3.09
Te: 0.1746 0.4573 0.5882  2 Sn 2.88-3.09
Te: 0.2173 0.1309 0.0427  2 Sn 2.88-3.09
Te: 0.2173 0.5864 0.1746  2 Sn 2.88-3.09
Te: 0.2827 0.3254 0.9136  2 Sn 2.88-3.09
Te: 0.2827 0.4573 0.3691  2 Sn 2.88-3.09
Te: 0.3254 0.9118 0.0427  2 Sn 2.88-3.09
Te: 0.3254 0.9136 0.2827  2 Sn 2.88-3.09
Te: 0.3691 0.2827 0.4573  2 Sn 2.88-3.09
Te: 0.3691 0.5864 0.9118  2 Sn 2.88-3.09
Te: 0.4118 0.0864 0.8691  2 Sn 2.88-3.09
Te: 0.4118 0.8254 0.5427  2 Sn 2.88-3.09
Te: 0.4136 0.0882 0.6309  2 Sn 2.88-3.09
Te: 0.4136 0.8254 0.7827  2 Sn 2.88-3.09
Te: 0.4573 0.3691 0.2827  2 Sn 2.88-3.09
Te: 0.4573 0.5882 0.1746  2 Sn 2.88-3.09
Te: 0.5427 0.4118 0.8254  2 Sn 2.88-3.09
Te: 0.5427 0.6309 0.7173  2 Sn 2.88-3.09
Te: 0.5864 0.1746 0.2173  2 Sn 2.88-3.09
Te: 0.5864 0.9118 0.3691  2 Sn 2.88-3.09
Te: 0.5882 0.1746 0.4573  2 Sn 2.88-3.09
Te: 0.5882 0.9136 0.1309  2 Sn 2.88-3.09
Te: 0.6309 0.4136 0.0882  2 Sn 2.88-3.09
Te: 0.6309 0.7173 0.5427  2 Sn 2.88-3.09
Te: 0.6746 0.0864 0.7173  2 Sn 2.88-3.09
Te: 0.6746 0.0882 0.9573  2 Sn 2.88-3.09
Te: 0.7173 0.5427 0.6309  2 Sn 2.88-3.09
Te: 0.7173 0.6746 0.0864  2 Sn 2.88-3.09
Te: 0.7827 0.4136 0.8254  2 Sn 2.88-3.09
Te: 0.7827 0.8691 0.9573  2 Sn 2.88-3.09
Te: 0.8254 0.5427 0.4118  2 Sn 2.88-3.09
Te: 0.8254 0.7827 0.4136  2 Sn 2.88-3.09
Te: 0.8691 0.4118 0.0864  2 Sn 2.88-3.09
Te: 0.8691 0.9573 0.7827  2 Sn 2.88-3.09
Te: 0.9118 0.0427 0.3254  2 Sn 2.88-3.09
Te: 0.9118 0.3691 0.5864  2 Sn 2.88-3.09
Te: 0.9136 0.1309 0.5882  2 Sn 2.88-3.09
Te: 0.9136 0.2827 0.3254  2 Sn 2.88-3.09
Te: 0.9573 0.6746 0.0882  2 Sn 2.88-3.09
Te: 0.9573 0.7827 0.8691  2 Sn 2.88-3.09

Output
SG: No. 230
Raw formation energy, eV/atom: -0.68
Final energy, eV for the cell shown: -334.22
Total magnetization, μB per atom: 0.000


Computed, not measured: a geometry-optimized AcSn2Te structure at the PBE level of DFT.

Cell: 4.7161 4.7161 5.5081 Å, 90.00 90.00 90.00°
With the nearest neighbours (Å) after each atom.
Atoms (fractional coordinates):
Ac: 0.0000 0.0000 0.0000  4 Te 3.33, 8 Sn 3.63
Sn: 0.0000 0.5000 0.5000  4 Sn 3.33, 4 Ac 3.63, 4 Te 3.63
Sn: 0.5000 0.0000 0.5000  4 Sn 3.33, 4 Ac 3.63, 4 Te 3.63
Te: 0.5000 0.5000 0.0000  4 Ac 3.33, 8 Sn 3.63

Output
SG: No. 123
Raw formation energy, eV/atom: -0.62
Final energy, eV for the cell shown: -17.73
Total magnetization, μB per atom: 0.000


Computed, not measured: a geometry-optimized AcThSnTe structure at the PBE level of DFT.

Cell: 7.9542 7.9542 7.9542 Å, 90.00 90.00 90.00°
With the nearest neighbours (Å) after each atom.
Atoms (fractional coordinates):
Ac: 0.0000 0.0000 0.0000  4 Sn 3.44, 4 Te 3.44
Ac: 0.0000 0.5000 0.5000  4 Sn 3.44, 4 Te 3.44
Ac: 0.5000 0.0000 0.5000  4 Sn 3.44, 4 Te 3.44
Ac: 0.5000 0.5000 0.0000  4 Sn 3.44, 4 Te 3.44
Th: 0.0000 0.0000 0.5000  4 Sn 3.44, 4 Te 3.44
Th: 0.0000 0.5000 0.0000  4 Sn 3.44, 4 Te 3.44
Th: 0.5000 0.0000 0.0000  4 Sn 3.44, 4 Te 3.44
Th: 0.5000 0.5000 0.5000  4 Sn 3.44, 4 Te 3.44
Sn: 0.2500 0.2500 0.2500  4 Ac 3.44, 4 Th 3.44
Sn: 0.2500 0.7500 0.7500  4 Ac 3.44, 4 Th 3.44
Sn: 0.7500 0.2500 0.7500  4 Ac 3.44, 4 Th 3.44
Sn: 0.7500 0.7500 0.2500  4 Ac 3.44, 4 Th 3.44
Te: 0.2500 0.2500 0.7500  4 Ac 3.44, 4 Th 3.44
Te: 0.2500 0.7500 0.2500  4 Ac 3.44, 4 Th 3.44
Te: 0.7500 0.2500 0.2500  4 Ac 3.44, 4 Th 3.44
Te: 0.7500 0.7500 0.7500  4 Ac 3.44, 4 Th 3.44

Output
SG: No. 216
Raw formation energy, eV/atom: -0.79
Final energy, eV for the cell shown: -87.31
Total magnetization, μB per atom: 0.000


Computed, not measured: a geometry-optimized Ac4TlSnTe2 structure at the PBE level of DFT.

Cell: 8.1668 4.7587 8.5207 Å, 90.00 108.88 90.00°
With the nearest neighbours (Å) after each atom.
Atoms (fractional coordinates):
Ac: 0.2444 0.0000 0.2419  2 Sn 3.35, 1 Tl 3.37, 3 Te 3.42-3.45
Ac: 0.2497 0.5000 0.7537  1 Sn 3.37, 2 Tl 3.39, 3 Te 3.41-3.42
Ac: 0.7503 0.5000 0.2463  1 Sn 3.37, 2 Tl 3.39, 3 Te 3.41-3.42
Ac: 0.7556 0.0000 0.7581  2 Sn 3.35, 1 Tl 3.37, 3 Te 3.42-3.45
Tl: 0.5000 0.0000 0.0000  6 Ac 3.37-3.39
Sn: 0.0000 0.5000 0.0000  6 Ac 3.35-3.37
Te: 0.0000 0.0000 0.5000  6 Ac 3.41-3.42
Te: 0.5000 0.5000 0.5000  6 Ac 3.42-3.45

Output
SG: No. 10
Raw formation energy, eV/atom: -1.00
Final energy, eV for the cell shown: -37.06
Total magnetization, μB per atom: 0.000


Computed, not measured: a geometry-optimized Ac6TlSn2Te3 structure at the PBE level of DFT.

Cell: 10.7995 10.7995 9.6625 Å, 104.55 104.55 25.62°
With the nearest neighbours (Å) after each atom.
Atoms (fractional coordinates):
Ac: 0.0009 0.0009 0.2502  1 Sn 3.34, 2 Tl 3.40, 3 Te 3.40-3.43
Ac: 0.3300 0.3300 0.4261  3 Sn 3.35-3.36, 3 Te 3.46-3.47
Ac: 0.3339 0.3339 0.9114  2 Sn 3.34, 1 Tl 3.38, 3 Te 3.39-3.46
Ac: 0.6661 0.6661 0.0886  2 Sn 3.34, 1 Tl 3.38, 3 Te 3.39-3.46
Ac: 0.6700 0.6700 0.5739  3 Sn 3.35-3.36, 3 Te 3.46-3.47
Ac: 0.9991 0.9991 0.7498  1 Sn 3.34, 2 Tl 3.40, 3 Te 3.40-3.43
Tl: 0.5000 0.5000 0.0000  6 Ac 3.38-3.40
Sn: 0.1649 0.1649 0.3292  6 Ac 3.34-3.36
Sn: 0.8351 0.8351 0.6708  6 Ac 3.34-3.36
Te: 0.1676 0.1676 0.8312  6 Ac 3.39-3.46
Te: 0.5000 0.5000 0.5000  6 Ac 3.40-3.47
Te: 0.8324 0.8324 0.1688  6 Ac 3.39-3.46

Output
SG: No. 12
Raw formation energy, eV/atom: -1.04
Final energy, eV for the cell shown: -56.97
Total magnetization, μB per atom: 0.000


Computed, not measured: a geometry-optimized AcTl3Sn2Te6 structure at the PBE level of DFT.

Cell: 7.9694 7.9694 8.3306 Å, 99.30 99.30 120.04°
With the nearest neighbours (Å) after each atom.
Atoms (fractional coordinates):
Ac: 0.0000 0.0000 0.0000  6 Te 3.31-3.33
Tl: 0.1575 0.8425 0.5000  6 Te 3.38-3.47
Tl: 0.5000 0.5000 0.5000  6 Te 3.34-3.45
Tl: 0.8425 0.1575 0.5000  6 Te 3.38-3.47
Sn: 0.3317 0.6683 0.0000  6 Te 3.14-3.16
Sn: 0.6683 0.3317 0.0000  6 Te 3.14-3.16
Te: 0.0780 0.4275 0.2305  2 Sn 3.15-3.16, 1 Ac 3.33, 3 Tl 3.38-3.47
Te: 0.2780 0.2780 0.7781  2 Sn 3.14, 1 Ac 3.31, 3 Tl 3.34-3.42
Te: 0.4275 0.0780 0.2305  2 Sn 3.15-3.16, 1 Ac 3.33, 3 Tl 3.38-3.47
Te: 0.5725 0.9220 0.7695  2 Sn 3.15-3.16, 1 Ac 3.33, 3 Tl 3.38-3.47
Te: 0.7220 0.7220 0.2219  2 Sn 3.14, 1 Ac 3.31, 3 Tl 3.34-3.42
Te: 0.9220 0.5725 0.7695  2 Sn 3.15-3.16, 1 Ac 3.33, 3 Tl 3.38-3.47

Output
SG: No. 12
Raw formation energy, eV/atom: -0.51
Final energy, eV for the cell shown: -44.23
Total magnetization, μB per atom: 0.000